{"formula": "ThRe2", "functional": "PBE", "state": "optimized geometry", "cell": [[5.4368, -0.0006, 0.0000], [-2.7189, 4.7067, 0.0000], [0.0000, 0.0000, 9.3022]], "species": ["Re", "Re", "Re", "Re", "Re", "Re", "Re", "Re", "Th", "Th", "Th", "Th"], "fractional_positions": [[0.0000, 0.0000, 0.5000], [0.6608, 0.8303, 0.7500], [0.1695, 0.8303, 0.7500], [0.8305, 0.1697, 0.2500], [0.8306, 0.6612, 0.2500], [0.3392, 0.1697, 0.2500], [0.0000, 0.0000, 0.0000], [0.1694, 0.3388, 0.7500], [0.6666, 0.3333, 0.5621], [0.6666, 0.3333, 0.9379], [0.3334, 0.6667, 0.0621], [0.3334, 0.6667, 0.4379]], "e_form_ev_per_atom": -0.09, "sg": "P6_3/mmc, No. 194", "crystal_system": "hexagonal", "total_energy_ev_per_cell": -130.36}

{"formula": "SrIr2", "functional": "PBE", "state": "optimized geometry", "cell": [[-1.3836, 2.5372, 4.6555], [-3.6834, -2.2660, 3.3650], [1.5951, -2.0590, 4.8210]], "species": ["Ir", "Ir", "Ir", "Ir", "Sr", "Sr"], "fractional_positions": [[0.6250, 0.6250, 0.1250], [0.1250, 0.6250, 0.6250], [0.6250, 0.1250, 0.6250], [0.6250, 0.6250, 0.6250], [0.0000, 0.0000, 0.0000], [0.2500, 0.2500, 0.2500]], "e_form_ev_per_atom": -0.26, "sg": "Fd-3m, No. 227", "crystal_system": "cubic", "total_energy_ev_per_cell": -40.39}

{"formula": "AlVRe2", "functional": "PBE", "state": "optimized geometry", "cell": [[-6.2452, 1.1281, 2.9189], [1.7386, -4.1668, 5.3302], [-1.2763, 0.5428, 5.4180]], "species": ["Re", "Re", "Re", "Re", "V", "V", "Al", "Al"], "fractional_positions": [[0.3750, 0.3414, 0.7500], [0.6586, 0.1250, 0.2500], [0.8750, 0.9086, 0.7500], [0.0914, 0.6250, 0.2500], [0.0000, 0.0000, 0.0000], [0.7500, 0.2500, 0.5000], [0.5000, 0.5000, 0.0000], [0.2500, 0.7500, 0.5000]], "e_form_ev_per_atom": 0.61, "sg": "I-42d, No. 122", "crystal_system": "tetragonal", "total_energy_ev_per_cell": -70.60}